[1]
Computed, not measured: a relaxed structure of KAuI3 at the PBE-GGA level of DFT.

Unit cell a=4.755 b=7.943 c=7.943 alpha=130.50 beta=90.00 gamma=90.00
Atoms (fractional coordinates):
I1 0.500 0.167 0.343
I2 0.500 0.657 0.833
I3 0.000 0.171 0.829
Au1 0.500 0.073 0.927
K1 0.000 0.559 0.441

- DFT total energy (eV/cell) = -11.66
- spin magnetization (μB/cell) = 0.000
- SG = Amm2 (38)

---

[2]
Computed, not measured: a relaxed structure of LaHg6Au at the PBE-GGA level of DFT.

Unit cell a=5.135 b=11.618 c=6.784 alpha=148.90 beta=90.00 gamma=90.00
Atoms (fractional coordinates):
Hg1 0.000 0.904 0.808
Hg2 0.000 0.317 0.635
Hg3 0.500 0.678 0.815
Hg4 0.500 0.137 0.815
Hg5 0.000 0.416 0.238
Hg6 0.000 0.822 0.238
La1 0.500 0.606 0.211
Au1 0.500 0.121 0.242

- energy of formation from the pure elements (eV per atom) = -0.20
- spin magnetization (μB/cell) = 0.000
- SG = Amm2 (38)

---

[3]
Computed, not measured: a relaxed structure of ZnBiS at the PBE-GGA level of DFT.

Unit cell a=4.016 b=5.621 c=8.987 alpha=108.22 beta=126.29 gamma=90.00
Atoms (fractional coordinates):
S1 0.375 0.381 0.762
S2 0.625 0.619 0.238
Bi1 0.526 0.899 0.798
Bi2 0.474 0.101 0.202
Zn1 0.397 0.716 0.431
Zn2 0.603 0.284 0.569

- DFT total energy (eV/cell) = -19.31
- spin magnetization (μB/cell) = 0.000
- SG = C2/m (12)

---

[4]
Computed, not measured: a relaxed structure of PbAuI3 at the PBE-GGA level of DFT.

Unit cell a=6.176 b=6.176 c=6.176 alpha=90.00 beta=90.00 gamma=90.00
Atoms (fractional coordinates):
I1 0.000 0.000 0.500
I2 0.500 0.000 0.000
I3 0.000 0.500 0.000
Au1 0.500 0.500 0.500
Pb1 0.000 0.000 0.000

- offset from the most stable computed form (meV per atom) = 655
- spin magnetization (μB/cell) = 0.000
- SG = Pm-3m (221)

---

[5]
Computed, not measured: a relaxed structure of Pr2NpRhN5 at the PBE-GGA level of DFT.

Unit cell a=3.462 b=6.959 c=10.938 alpha=90.00 beta=90.00 gamma=104.40
Site moments in Bohr magnetons follow the coordinates.
Atoms (fractional coordinates):
N1 0.511 0.021 0.277  -0.01
N2 0.680 0.360 0.893  -0.04
N3 0.279 0.558 0.639  -0.04
N4 0.363 0.727 0.990  -0.03
N5 0.721 0.442 0.139  -0.04
N6 0.943 0.886 0.564  -0.04
N7 0.057 0.114 0.064  -0.04
N8 0.489 0.979 0.777  -0.01
N9 0.637 0.273 0.490  -0.03
N10 0.320 0.640 0.393  -0.04
Pr1 0.137 0.274 0.305  0.00
Pr2 0.902 0.805 0.186  0.00
Pr3 0.098 0.195 0.686  0.00
Pr4 0.863 0.726 0.805  0.00
Rh1 0.474 0.947 0.455  -0.03
Rh2 0.526 0.053 0.955  -0.03
Np1 0.207 0.415 0.015  0.72
Np2 0.793 0.585 0.515  0.72

- DFT total energy (eV/cell) = -157.57
- spin magnetization (μB/cell) = 0.986
- SG = Cmc2_1 (36)

---

[6]
Computed, not measured: a relaxed structure of Tl2ReOs at the PBE-GGA level of DFT.

Unit cell a=3.025 b=3.025 c=9.132 alpha=90.00 beta=90.00 gamma=90.00
Atoms (fractional coordinates):
Tl1 0.000 0.000 0.958
Tl2 0.500 0.500 0.291
Os1 0.000 0.000 0.547
Re1 0.500 0.500 0.704

- energy of formation from the pure elements (eV per atom) = 0.55
- offset from the most stable computed form (meV per atom) = 35
- spin magnetization (μB/cell) = 0.000
- SG = P4mm (99)

---

[7]
Computed, not measured: a relaxed structure of TiAgPb3 at the PBE-GGA level of DFT.

Unit cell a=5.418 b=5.418 c=5.418 alpha=90.00 beta=90.00 gamma=90.00
Atoms (fractional coordinates):
Ag1 0.500 0.500 0.500
Pb1 0.000 0.500 0.000
Pb2 0.000 0.000 0.500
Pb3 0.500 0.000 0.000
Ti1 0.000 0.000 0.000

- energy of formation from the pure elements (eV per atom) = 0.43
- spin magnetization (μB/cell) = 0.000
- SG = Pm-3m (221)

---

[8]
Computed, not measured: a relaxed structure of Ba2CdPtPb6 at the PBE-GGA level of DFT.

Unit cell a=7.574 b=7.574 c=14.424 alpha=74.78 beta=74.78 gamma=60.00
Atoms (fractional coordinates):
Pb1 0.780 0.780 0.107
Pb2 0.220 0.668 0.893
Pb3 0.659 0.659 0.596
Pb4 0.915 0.341 0.404
Pb5 0.780 0.332 0.107
Pb6 0.220 0.220 0.893
Pb7 0.341 0.341 0.404
Pb8 0.668 0.220 0.893
Pb9 0.341 0.915 0.404
Pb10 0.085 0.659 0.596
Pb11 0.332 0.780 0.107
Pb12 0.659 0.085 0.596
Ba1 0.888 0.888 0.336
Ba2 0.112 0.112 0.664
Ba3 0.714 0.714 0.857
Ba4 0.286 0.286 0.143
Pt1 0.500 0.500 0.500
Pt2 0.000 0.000 0.000
Cd1 0.428 0.428 0.717
Cd2 0.572 0.572 0.283

- energy of formation from the pure elements (eV per atom) = -0.22
- spin magnetization (μB/cell) = 0.000
- SG = R-3m (166)

---

[9]
Computed, not measured: a relaxed structure of Ta4Tc3Mo at the PBE-GGA level of DFT.

Unit cell a=3.191 b=4.526 c=9.063 alpha=90.00 beta=90.00 gamma=90.00
Atoms (fractional coordinates):
Tc1 0.500 0.000 0.253
Tc2 0.500 0.500 0.500
Tc3 0.500 0.000 0.747
Ta1 0.000 0.000 0.000
Ta2 0.000 0.500 0.749
Ta3 0.000 0.000 0.500
Ta4 0.000 0.500 0.251
Mo1 0.500 0.500 0.000

- energy of formation from the pure elements (eV per atom) = -0.42
- spin magnetization (μB/cell) = 0.000
- SG = Pmmm (47)

---

[10]
Computed, not measured: a relaxed structure of LiCaAl2 at the PBE-GGA level of DFT.

Unit cell a=4.478 b=4.478 c=5.947 alpha=67.95 beta=67.95 gamma=59.98
Atoms (fractional coordinates):
Li1 0.250 0.250 0.250
Ca1 0.750 0.750 0.750
Al1 0.551 0.551 0.347
Al2 0.949 0.949 0.153

- energy of formation from the pure elements (eV per atom) = -0.16
- offset from the most stable computed form (meV per atom) = 0
- spin magnetization (μB/cell) = 0.000
- SG = C2/m (12)

---

[11]
Computed, not measured: a relaxed structure of Ca3Ta at the PBE-GGA level of DFT.

Unit cell a=6.829 b=6.829 c=6.829 alpha=151.28 beta=126.61 gamma=61.74
Site moments in Bohr magnetons follow the coordinates.
Atoms (fractional coordinates):
Ca1 0.148 0.500 0.648  0.02
Ca2 0.290 0.273 0.017  0.00
Ca3 0.745 0.727 0.017  0.00
Ta1 0.651 0.000 0.651  0.60

- energy of formation from the pure elements (eV per atom) = 0.68
- offset from the most stable computed form (meV per atom) = 121
- spin magnetization (μB/cell) = 1.056
- SG = Imm2 (44)

---

[12]
Computed, not measured: a relaxed structure of AsIr3 at the PBE-GGA level of DFT.

Unit cell a=2.839 b=2.839 c=7.481 alpha=90.00 beta=90.00 gamma=90.00
Atoms (fractional coordinates):
Ir1 0.500 0.500 0.749
Ir2 0.500 0.500 0.251
Ir3 0.000 0.000 0.500
As1 0.000 0.000 0.000

- energy of formation from the pure elements (eV per atom) = 0.24
- offset from the most stable computed form (meV per atom) = 159
- spin magnetization (μB/cell) = 0.000
- SG = P4/mmm (123)

---

[13]
Computed, not measured: a relaxed structure of Cr4SiAs at the PBE-GGA level of DFT.

Unit cell a=4.783 b=4.783 c=4.783 alpha=60.00 beta=60.00 gamma=60.00
Atoms (fractional coordinates):
Cr1 0.874 0.375 0.375
Cr2 0.375 0.375 0.375
Cr3 0.375 0.874 0.375
Cr4 0.375 0.375 0.874
As1 0.000 0.000 0.000
Si1 0.750 0.750 0.750

- DFT total energy (eV/cell) = -46.68
- spin magnetization (μB/cell) = 0.000
- SG = F-43m (216)

---

[14]
Computed, not measured: a relaxed structure of Er4Tm3Ga4 at the PBE-GGA level of DFT.

Unit cell a=3.514 b=8.960 c=10.004 alpha=116.60 beta=100.12 gamma=90.00
Atoms (fractional coordinates):
Tm1 0.096 0.096 0.192
Tm2 0.904 0.904 0.808
Tm3 0.000 0.500 0.000
Er1 0.335 0.521 0.669
Er2 0.665 0.852 0.331
Er3 0.335 0.148 0.669
Er4 0.665 0.479 0.331
Ga1 0.500 0.778 0.000
Ga2 0.729 0.229 0.458
Ga3 0.500 0.222 0.000
Ga4 0.271 0.771 0.542

- energy of formation from the pure elements (eV per atom) = -0.41
- spin magnetization (μB/cell) = 0.001
- SG = Immm (71)

---

[15]
Computed, not measured: a relaxed structure of HgPS2O at the PBE-GGA level of DFT.

Unit cell a=4.901 b=4.901 c=5.182 alpha=90.00 beta=90.00 gamma=90.00
Site moments in Bohr magnetons follow the coordinates.
Atoms (fractional coordinates):
Hg1 0.000 0.000 0.000  0.01
S1 0.000 0.500 0.000  0.22
S2 0.500 0.000 0.000  0.22
P1 0.000 0.000 0.500  -0.08
O1 0.500 0.500 0.500  -0.07

- offset from the most stable computed form (meV per atom) = 970
- spin magnetization (μB/cell) = 0.423
- SG = P4/mmm (123)

---

[16]
Computed, not measured: a relaxed structure of Mg2RuPt at the PBE-GGA level of DFT.

Unit cell a=4.528 b=3.042 c=4.528 alpha=90.00 beta=90.00 gamma=90.00
Site moments in Bohr magnetons follow the coordinates.
Atoms (fractional coordinates):
Mg1 0.500 0.125 0.375  0.00
Mg2 0.000 0.125 0.875  0.00
Pt1 0.000 0.625 0.376  0.05
Ru1 0.500 0.625 0.875  0.80

- energy of formation from the pure elements (eV per atom) = -0.32
- spin magnetization (μB/cell) = 0.908
- SG = P4/mmm (123)

---

[17]
Computed, not measured: a relaxed structure of CePr2Er2Tm2 at the PBE-GGA level of DFT.

Unit cell a=3.442 b=12.190 c=11.761 alpha=151.06 beta=90.00 gamma=98.12
Site moments in Bohr magnetons follow the coordinates.
Atoms (fractional coordinates):
Er1 0.356 0.713 0.769  0.03
Er2 0.644 0.287 0.231  0.03
Tm1 0.053 0.107 0.306  0.05
Tm2 0.947 0.893 0.694  0.05
Pr1 0.298 0.596 0.955  0.02
Pr2 0.702 0.404 0.045  0.02
Ce1 0.000 0.000 0.500  0.78

- energy of formation from the pure elements (eV per atom) = 0.18
- spin magnetization (μB/cell) = 1.287
- SG = C2/m (12)